1.
Er8Tc2Pb | PBE | optimized geometry

Computed properties:
**SG**: C2/m, No. 12
**Total moment**: 0.00 μB per formula unit
**Mass density**: 9.82 Mg/m³
**Energy of formation from the pure elements**: -0.179 eV/atom

Cell: 9.2984 9.2984 7.3712 Å, 109.10 109.10 29.40°
Closest atoms and distances in Å follow each position.
Sites, in units of the cell vectors:
Er 0.0372 0.0372 0.2517  1 Tc 2.88, 2 Pb 3.19
Er 0.2015 0.2015 0.8138  3 Tc 2.91-3.10
Er 0.3220 0.3220 0.5498  3 Tc 2.89-3.06
Er 0.3988 0.3988 0.0245  2 Tc 2.99, 1 Er 3.30
Er 0.6012 0.6012 0.9755  2 Tc 2.99, 1 Er 3.30
Er 0.6780 0.6780 0.4502  3 Tc 2.89-3.06
Er 0.7985 0.7985 0.1862  3 Tc 2.91-3.10
Er 0.9628 0.9628 0.7483  1 Tc 2.88, 2 Pb 3.19
Tc 0.1881 0.1881 0.1960  9 Er 2.88-3.10
Tc 0.8119 0.8119 0.8040  9 Er 2.88-3.10
Pb 0.5000 0.5000 0.5000  8 Er 3.19-3.36

2.
Er3TcPb | PBE | optimized geometry

Computed properties:
**SG**: C2/m, No. 12
**Total moment**: 0.00 μB per formula unit
**Excess energy over the best structure of this formula in the dataset**: 0.0000 eV per atom
**Mass density**: 10.11 Mg/m³
**Energy of formation from the pure elements**: -0.187 eV/atom

Cell: 7.1033 7.1033 9.3845 Å, 120.37 120.37 41.73°
Closest atoms and distances in Å follow each position.
Sites, in units of the cell vectors:
Er 0.0896 0.0896 0.4172  3 Tc 2.72-2.79
Er 0.3401 0.3401 0.7830  1 Tc 2.81
Er 0.4012 0.4012 0.2654  1 Tc 2.71
Er 0.5988 0.5988 0.7346  1 Tc 2.71
Er 0.6599 0.6599 0.2170  1 Tc 2.81
Er 0.9104 0.9104 0.5828  3 Tc 2.72-2.79
Tc 0.3104 0.3104 0.4635  5 Er 2.71-2.81
Tc 0.6896 0.6896 0.5365  5 Er 2.71-2.81
Pb 0.1134 0.1134 0.9759  6 Er 3.18-3.33, 1 Pb 3.28
Pb 0.8866 0.8866 0.0241  6 Er 3.18-3.33, 1 Pb 3.28

3.
Er2TcPb | PBE | optimized geometry

Computed properties:
**SG**: P4/mmm, No. 123
**Total moment**: 0.00 μB per formula unit
**Excess energy over the best structure of this formula in the dataset**: 0.0000 eV per atom
**Mass density**: 11.19 Mg/m³
**Energy of formation from the pure elements**: -0.250 eV/atom

Cell: 3.5569 3.5569 7.5053 Å, 90.00 90.00 90.00°
Closest atoms and distances in Å follow each position.
Sites, in units of the cell vectors:
Er 0.0000 0.0000 0.2104  4 Tc 2.97, 1 Er 3.16, 4 Pb 3.32
Er 0.0000 0.0000 0.7896  4 Tc 2.97, 1 Er 3.16, 4 Pb 3.32
Tc 0.5000 0.5000 0.0000  8 Er 2.97
Pb 0.5000 0.5000 0.5000  8 Er 3.32, 4 Pb 3.56

4.
Er4TcPb | PBE | optimized geometry

Computed properties:
**SG**: C2/c, No. 15
**Total moment**: 0.00 μB per formula unit
**Mass density**: 9.61 Mg/m³
**Energy of formation from the pure elements**: -0.299 eV/atom

Cell: 8.0152 8.0152 6.1463 Å, 102.18 102.18 112.80°
Closest atoms and distances in Å follow each position.
Sites, in units of the cell vectors:
Er 0.0572 0.7241 0.9398  2 Tc 2.84-2.85
Er 0.2031 0.3456 0.6483  2 Tc 2.88-2.89
Er 0.2759 0.9428 0.5602  2 Tc 2.84-2.85
Er 0.3456 0.2031 0.1483  2 Tc 2.88-2.89
Er 0.6544 0.7969 0.8517  2 Tc 2.88-2.89
Er 0.7241 0.0572 0.4398  2 Tc 2.84-2.85
Er 0.7969 0.6544 0.3517  2 Tc 2.88-2.89
Er 0.9428 0.2759 0.0602  2 Tc 2.84-2.85
Tc 0.0003 0.9997 0.2500  8 Er 2.84-2.89, 2 Tc 3.07
Tc 0.9997 0.0003 0.7500  8 Er 2.84-2.89, 2 Tc 3.07
Pb 0.3705 0.6295 0.2500  8 Er 3.25-3.56
Pb 0.6295 0.3705 0.7500  8 Er 3.25-3.56

5.
Er6Te5Pb | PBE | optimized geometry

Computed properties:
**SG**: C2/m, No. 12
**Total moment**: 0.00 μB per formula unit
**Formation energy (no corrections)**: -1.13 eV per atom
**Mass density**: 8.84 Mg/m³

Cell: 7.5050 7.5050 7.5398 Å, 99.52 99.52 119.91°
Closest atoms and distances in Å follow each position.
Sites, in units of the cell vectors:
Er 0.0809 0.4097 0.7461  1 Pb 3.02, 5 Te 3.07-3.09
Er 0.2435 0.2435 0.2502  1 Pb 3.03, 5 Te 3.08-3.11
Er 0.4097 0.0809 0.7461  1 Pb 3.02, 5 Te 3.07-3.09
Er 0.5903 0.9191 0.2539  1 Pb 3.02, 5 Te 3.07-3.09
Er 0.7565 0.7565 0.7498  1 Pb 3.03, 5 Te 3.08-3.11
Er 0.9191 0.5903 0.2539  1 Pb 3.02, 5 Te 3.07-3.09
Te 0.1694 0.8306 0.0000  6 Er 3.07-3.09
Te 0.3343 0.6657 0.5000  6 Er 3.07-3.08
Te 0.5000 0.5000 0.0000  6 Er 3.08-3.11
Te 0.6657 0.3343 0.5000  6 Er 3.07-3.08
Te 0.8306 0.1694 0.0000  6 Er 3.07-3.09
Pb 0.0000 0.0000 0.5000  6 Er 3.02-3.03

6.
Er4TePb2 | PBE | optimized geometry

Computed properties:
**SG**: P2_1/m, No. 11
**Total moment**: 0.00 μB per formula unit
**Formation energy (no corrections)**: -0.53 eV per atom
**Mass density**: 9.73 Mg/m³

Cell: 6.4926 6.5092 10.1159 Å, 90.00 104.75 90.00°
Closest atoms and distances in Å follow each position.
Sites, in units of the cell vectors:
Er 0.0225 0.2500 0.3370  3 Te 3.14-3.37, 1 Pb 3.18
Er 0.1134 0.2500 0.9539  1 Te 3.00, 1 Pb 3.08
Er 0.4673 0.0011 0.2318  4 Pb 3.13-3.20, 1 Te 3.15, 2 Er 3.24-3.27
Er 0.4673 0.4989 0.2318  4 Pb 3.13-3.20, 1 Te 3.15, 2 Er 3.24-3.27
Er 0.5327 0.5011 0.7682  4 Pb 3.13-3.20, 1 Te 3.15, 2 Er 3.24-3.27
Er 0.5327 0.9989 0.7682  4 Pb 3.13-3.20, 1 Te 3.15, 2 Er 3.24-3.27
Er 0.8866 0.7500 0.0461  1 Te 3.00, 1 Pb 3.08
Er 0.9775 0.7500 0.6630  3 Te 3.14-3.37, 1 Pb 3.18
Te 0.1102 0.2500 0.6564  4 Er 3.00-3.15
Te 0.8898 0.7500 0.3436  4 Er 3.00-3.15
Pb 0.3061 0.7500 0.9566  6 Er 3.08-3.18
Pb 0.4199 0.7500 0.4941  4 Er 3.13-3.20, 1 Te 3.39, 2 Pb 3.41
Pb 0.5801 0.2500 0.5059  4 Er 3.13-3.20, 1 Te 3.39, 2 Pb 3.41
Pb 0.6939 0.2500 0.0434  6 Er 3.08-3.18

7.
Er2TePb | PBE | optimized geometry

Computed properties:
**SG**: R3m, No. 160
**Total moment**: 0.00 μB per formula unit
**Excess energy over the best structure of this formula in the dataset**: 0.1134 eV per atom
**Formation energy (no corrections)**: -0.79 eV per atom
**Mass density**: 9.11 Mg/m³

Cell: 7.8610 7.8610 7.8610 Å, 32.12 32.12 32.12°
Closest atoms and distances in Å follow each position.
Sites, in units of the cell vectors:
Er 0.0000 0.0000 0.0000  3 Pb 3.03, 3 Te 3.17
Er 0.1785 0.1785 0.1785  3 Pb 3.07, 3 Te 3.24
Te 0.4202 0.4202 0.4202  6 Er 3.17-3.24
Pb 0.5906 0.5906 0.5906  6 Er 3.03-3.07

8.
Er7Te2Pb2 | PBE | optimized geometry

Computed properties:
**SG**: Cmmm, No. 65
**Total moment**: 0.00 μB per formula unit
**Formation energy (no corrections)**: -0.31 eV per atom
**Mass density**: 8.94 Mg/m³

Cell: 7.0647 7.0647 6.9739 Å, 90.00 90.00 100.92°
Closest atoms and distances in Å follow each position.
Sites, in units of the cell vectors:
Er 0.0000 0.0000 0.0000  2 Te 3.01
Er 0.0000 0.5000 0.2701  2 Te 2.95, 1 Er 3.21, 2 Pb 3.21
Er 0.0000 0.5000 0.7299  2 Te 2.95, 1 Er 3.21, 2 Pb 3.21
Er 0.5000 0.0000 0.2701  2 Te 2.95, 1 Er 3.21, 2 Pb 3.21
Er 0.5000 0.0000 0.7299  2 Te 2.95, 1 Er 3.21, 2 Pb 3.21
Er 0.5000 0.5000 0.2613  2 Te 3.04, 2 Pb 3.28, 1 Er 3.33
Er 0.5000 0.5000 0.7387  2 Te 3.04, 2 Pb 3.28, 1 Er 3.33
Te 0.2762 0.7238 0.0000  7 Er 2.95-3.04
Te 0.7238 0.2762 0.0000  7 Er 2.95-3.04
Pb 0.1855 0.1855 0.5000  6 Er 3.21-3.28, 1 Pb 3.34
Pb 0.8145 0.8145 0.5000  6 Er 3.21-3.28, 1 Pb 3.34

9.
Er5Te2Pb2 | PBE | optimized geometry

Computed properties:
**SG**: Cmce, No. 64
**Total moment**: 0.00 μB per formula unit
**Excess energy over the best structure of this formula in the dataset**: 0.0000 eV per atom
**Formation energy (no corrections)**: -0.79 eV per atom
**Mass density**: 9.90 Mg/m³

Cell: 8.6688 8.6688 8.1470 Å, 90.00 90.00 55.63°
Closest atoms and distances in Å follow each position.
Sites, in units of the cell vectors:
Er 0.0000 0.0000 0.0000  2 Te 3.08, 4 Pb 3.11-3.14
Er 0.0259 0.7014 0.6606  3 Pb 3.07-3.24, 3 Te 3.11-3.22
Er 0.2014 0.5259 0.1606  3 Pb 3.07-3.24, 3 Te 3.11-3.22
Er 0.2986 0.9741 0.6606  3 Pb 3.07-3.24, 3 Te 3.11-3.22
Er 0.4741 0.7986 0.1606  3 Pb 3.07-3.24, 3 Te 3.11-3.22
Er 0.5000 0.5000 0.5000  2 Te 3.08, 4 Pb 3.11-3.14
Er 0.5259 0.2014 0.8394  3 Pb 3.07-3.24, 3 Te 3.11-3.22
Er 0.7014 0.0259 0.3394  3 Pb 3.07-3.24, 3 Te 3.11-3.22
Er 0.7986 0.4741 0.8394  3 Pb 3.07-3.24, 3 Te 3.11-3.22
Er 0.9741 0.2986 0.3394  3 Pb 3.07-3.24, 3 Te 3.11-3.22
Te 0.2011 0.2011 0.0000  7 Er 3.08-3.22
Te 0.2989 0.2989 0.5000  7 Er 3.08-3.22
Te 0.7011 0.7011 0.5000  7 Er 3.08-3.22
Te 0.7989 0.7989 0.0000  7 Er 3.08-3.22
Pb 0.1432 0.8568 0.3582  8 Er 3.07-3.24, 1 Pb 3.27
Pb 0.3568 0.6432 0.8582  8 Er 3.07-3.24, 1 Pb 3.27
Pb 0.6432 0.3568 0.1418  8 Er 3.07-3.24, 1 Pb 3.27
Pb 0.8568 0.1432 0.6418  8 Er 3.07-3.24, 1 Pb 3.27

10.
Er5Te4Pb | PBE | optimized geometry

Computed properties:
**SG**: I4/mmm, No. 139
**Total moment**: 0.00 μB per formula unit
**Excess energy over the best structure of this formula in the dataset**: 0.0175 eV per atom
**Formation energy (no corrections)**: -1.09 eV per atom
**Mass density**: 8.89 Mg/m³

Cell: 15.7157 15.7157 15.7157 Å, 164.13 164.13 22.52°
Closest atoms and distances in Å follow each position.
Sites, in units of the cell vectors:
Er 0.0000 0.0000 0.0000  4 Pb 3.07, 2 Te 3.17
Er 0.2039 0.2039 0.0000  6 Te 3.03-3.12
Er 0.4027 0.4027 0.0000  1 Pb 3.00, 5 Te 3.07-3.09
Er 0.5973 0.5973 0.0000  1 Pb 3.00, 5 Te 3.07-3.09
Er 0.7961 0.7961 0.0000  6 Te 3.03-3.12
Te 0.1028 0.1028 0.0000  6 Er 3.07-3.17
Te 0.3023 0.3023 0.0000  6 Er 3.03-3.09
Te 0.6977 0.6977 0.0000  6 Er 3.03-3.09
Te 0.8972 0.8972 0.0000  6 Er 3.07-3.17
Pb 0.5000 0.5000 0.0000  6 Er 3.00-3.07

11.
Er5Te5Pb | PBE | optimized geometry

Computed properties:
**SG**: C2/m, No. 12
**Total moment**: 0.00 μB per formula unit
**Formation energy (no corrections)**: -1.21 eV per atom
**Mass density**: 8.08 Mg/m³

Cell: 7.5078 7.5078 8.6478 Å, 106.69 106.69 48.29°
Closest atoms and distances in Å follow each position.
Sites, in units of the cell vectors:
Er 0.0000 0.0000 0.0000  2 Pb 3.07, 4 Te 3.08
Er 0.3365 0.3365 0.1695  5 Te 3.03-3.12, 1 Pb 3.04
Er 0.3368 0.3368 0.6680  5 Te 3.03-3.08, 1 Pb 3.03
Er 0.6632 0.6632 0.3320  5 Te 3.03-3.08, 1 Pb 3.03
Er 0.6635 0.6635 0.8305  5 Te 3.03-3.12, 1 Pb 3.04
Te 0.1659 0.1659 0.3373  5 Er 3.07-3.11
Te 0.1663 0.1663 0.8301  5 Er 3.07-3.12
Te 0.5000 0.5000 0.5000  4 Er 3.03
Te 0.8337 0.8337 0.1699  5 Er 3.07-3.12
Te 0.8341 0.8341 0.6627  5 Er 3.07-3.11
Pb 0.5000 0.5000 0.0000  6 Er 3.03-3.07

12.
Er8TePb5 | PBE | optimized geometry

Computed properties:
**SG**: I-4, No. 82
**Total moment**: 0.00 μB per formula unit
**Formation energy (no corrections)**: -0.58 eV per atom
**Mass density**: 10.39 Mg/m³

Cell: 8.0389 8.0389 8.0389 Å, 109.59 109.59 109.24°
Closest atoms and distances in Å follow each position.
Sites, in units of the cell vectors:
Er 0.0194 0.1261 0.7494  1 Te 3.09, 5 Pb 3.10-3.34
Er 0.2348 0.4812 0.6047  5 Pb 3.10-3.32, 1 Te 3.37
Er 0.3699 0.7652 0.2464  5 Pb 3.10-3.32, 1 Te 3.37
Er 0.3767 0.2700 0.2506  1 Te 3.09, 5 Pb 3.10-3.34
Er 0.5188 0.1235 0.7536  5 Pb 3.10-3.32, 1 Te 3.37
Er 0.7300 0.9806 0.1067  1 Te 3.09, 5 Pb 3.10-3.34
Er 0.8739 0.6233 0.8933  1 Te 3.09, 5 Pb 3.10-3.34
Er 0.8765 0.6301 0.3953  5 Pb 3.10-3.32, 1 Te 3.37
Te 0.7500 0.2500 0.5000  8 Er 3.09-3.37
Pb 0.1266 0.0028 0.3758  8 Er 3.10-3.34
Pb 0.2492 0.8734 0.8762  8 Er 3.10-3.34
Pb 0.5000 0.5000 0.0000  8 Er 3.10-3.33
Pb 0.6270 0.7508 0.6242  8 Er 3.10-3.34
Pb 0.9972 0.3730 0.1238  8 Er 3.10-3.34